First-principles (PBE) data for Ce2Ga4FeSi2 after structural relaxation, as listed in Alexandria.

Calculated values
Crystal system   tetragonal
Formation energy from raw total energies   -0.509 eV/atom
Raw total energy   -0.1954 Ha/atom
ρ   6.9 Mg/m³

a b c (Å): 6.127 6.127 8.577
angles (deg): 90.00 90.00 90.00
Space group I4/mmm (No. 139)
Symmetry-distinct sites (fractional):
1 Ce 0.000 0.500 0.250
2 Ga 0.219 0.219 0.000
3 Fe 0.000 0.000 0.500
4 Si 0.000 0.000 0.227


First-principles (PBE) data for Ce3GdFe after structural relaxation, as listed in Alexandria.

Calculated values
Crystal system   cubic
Raw total energy   -0.2930 Ha/atom
ρ   7.5 Mg/m³

a b c (Å): 5.189 5.189 5.189
angles (deg): 90.00 90.00 90.00
Space group Pm-3m (No. 221)
Symmetry-distinct sites (fractional):
1 Ce 0.000 0.000 0.500
2 Gd 0.500 0.500 0.500
3 Fe 0.000 0.000 0.000


First-principles (PBE) data for CeGd3Fe after structural relaxation, as listed in Alexandria.

Calculated values
Crystal system   cubic
Raw total energy   -0.4089 Ha/atom
ρ   7.4 Mg/m³

a b c (Å): 5.316 5.316 5.316
angles (deg): 90.00 90.00 90.00
Space group Pm-3m (No. 221)
Symmetry-distinct sites (fractional):
1 Ce 0.000 0.000 0.000
2 Gd 0.000 0.500 0.500
3 Fe 0.500 0.500 0.500


First-principles (PBE) data for CeGdFe4 after structural relaxation, as listed in Alexandria.

Calculated values
Crystal system   cubic
Raw total energy   -0.3310 Ha/atom
ρ   9.0 Mg/m³

a b c (Å): 7.279 7.279 7.279
angles (deg): 90.00 90.00 90.00
Space group F-43m (No. 216)
Symmetry-distinct sites (fractional):
1 Ce 0.000 0.000 0.000
2 Gd 0.250 0.250 0.250
3 Fe 0.125 0.125 0.625